(1)
4
Lattice="3.263 0.000 0.000 0.000 3.263 0.000 0.000 0.000 8.923" Properties=species:S:1:pos:R:3 comment="LiIn2Pb (meta-GGA SCAN, PBEsol geometry)" space_group="P4/mmm, No. 123" crystal_system=tetragonal e_tot_ev_per_atom=-36.373 pbc="T T T"
Li 0.000 0.000 0.000
In 1.631 1.631 1.910
In 1.631 1.631 7.013
Pb 0.000 0.000 4.461

(2)
4
Lattice="3.510 0.000 0.000 0.000 4.903 0.000 -1.724 0.000 5.965" Properties=species:S:1:pos:R:3 comment="LiInPb2 (meta-GGA SCAN, PBEsol geometry)" space_group="Pm, No. 6" crystal_system=monoclinic e_tot_ev_per_atom=-46.959 pbc="T T T"
Li 0.000 0.000 0.000
In 1.776 2.451 4.322
Pb 0.009 0.000 3.069
Pb 1.750 2.451 1.086